Density functional theory data (GGA-PBE) for a relaxed structure of NaSiAsBr2.

Unit cell a=5.4808 b=5.4808 c=4.7380 alpha=90.00 beta=90.00 gamma=90.00
Site moments in Bohr magnetons follow the coordinates.
Element x y z (fractional)
Si 0.0000 0.0000 0.0000  -0.01
As 0.0000 0.0000 0.5000  0.32
Br 0.0000 0.5000 0.0000  0.07
Na 0.5000 0.5000 0.5000  0.00
Br 0.5000 0.0000 0.0000  0.07

* DFT total energy: -3.124 eV/atom
* crystal system: tetragonal
* E_form (uncorrected): -0.177 eV/atom
* N(E_F): 0.504 states/eV/atom
* energy above the most stable polymorph in this dataset: 0 meV/atom



Density functional theory data (GGA-PBE) for a relaxed structure of CeTm2Zr.

Unit cell a=3.2832 b=3.2832 c=11.9862 alpha=82.13 beta=82.13 gamma=60.00
Element x y z (fractional)
Tm 0.9124 0.9124 0.2627
Tm 0.0876 0.0876 0.7373
Zr 0.0000 0.0000 0.0000
Ce 0.5000 0.5000 0.5000

* DFT total energy: -5.576 eV/atom
* crystal system: trigonal
* N(E_F): 1.340 states/eV/atom
* energy above the most stable polymorph in this dataset: 192 meV/atom
* DFT formation energy: 0.28 eV per atom



Density functional theory data (GGA-PBE) for a relaxed structure of AsWC3.

Unit cell a=3.8290 b=3.8290 c=3.8290 alpha=90.00 beta=90.00 gamma=90.00
Element x y z (fractional)
C 0.5000 0.0000 0.0000
C 0.0000 0.0000 0.5000
C 0.0000 0.5000 0.0000
As 0.0000 0.0000 0.0000
W 0.5000 0.5000 0.5000

* DFT total energy: -6.282 eV/atom
* crystal system: cubic
* N(E_F): 0.902 states/eV/atom
* energy above the most stable polymorph in this dataset: 715 meV/atom
* DFT formation energy: 2.77 eV per atom



Density functional theory data (GGA-PBE) for a relaxed structure of KCa2Cu.

Unit cell a=6.5564 b=6.9181 c=3.8209 alpha=76.23 beta=85.39 gamma=116.85
Element x y z (fractional)
Ca 0.0000 0.0000 0.0000
Ca 0.5000 0.0000 0.5000
Cu 0.0000 0.5000 0.5000
K 0.5000 0.5000 0.0000

* DFT total energy: -1.888 eV/atom
* crystal system: monoclinic
* N(E_F): 0.631 states/eV/atom
* energy above the most stable polymorph in this dataset: 364 meV/atom
* DFT formation energy: 0.41 eV per atom



Density functional theory data (GGA-PBE) for a relaxed structure of YMnMo2.

Unit cell a=5.4932 b=5.4932 c=2.7632 alpha=90.00 beta=90.00 gamma=120.17
Site moments in Bohr magnetons follow the coordinates.
Element x y z (fractional)
Mo 0.5000 0.5000 0.0000  -0.04
Mo 0.0000 0.0000 0.0000  -0.04
Mn 0.0000 0.5000 0.5000  3.28
Y 0.5000 0.0000 0.5000  -0.09

* DFT total energy: -8.713 eV/atom
* crystal system: orthorhombic
* N(E_F): 1.201 states/eV/atom
* energy above the most stable polymorph in this dataset: 366 meV/atom
* DFT formation energy: 0.61 eV per atom



Density functional theory data (GGA-PBE) for a relaxed structure of Ti2PPdRh.

Unit cell a=4.5152 b=4.3274 c=4.5152 alpha=90.00 beta=90.00 gamma=90.00
Element x y z (fractional)
Ti 0.0000 0.0000 0.5000
Pd 0.0000 0.5000 0.0000
Ti 0.5000 0.0000 0.0000
P 0.0000 0.0000 0.0000
Rh 0.5000 0.5000 0.5000

* DFT total energy: -6.839 eV/atom
* crystal system: tetragonal
* N(E_F): 1.175 states/eV/atom
* DFT formation energy: -0.09 eV per atom



Density functional theory data (GGA-PBE) for a relaxed structure of Ag5Os2Cl12.

Unit cell a=8.2521 b=9.1140 c=9.1437 alpha=72.05 beta=82.36 gamma=108.52
Site moments in Bohr magnetons follow the coordinates.
Element x y z (fractional)
Cl 0.4523 0.2780 0.8089  0.01
Cl 0.7623 0.7316 0.6006  0.00
Ag 0.1896 0.5641 0.3221  0.01
Cl 0.1826 0.0096 0.1343  0.01
Ag 0.5354 0.2821 0.4096  0.01
Cl 0.7865 0.2809 0.9744  0.01
Os 0.3842 0.9990 0.9452  0.12
Cl 0.2377 0.2684 0.3994  0.00
Ag 0.8104 0.4359 0.6779  0.01
Cl 0.1571 0.6166 0.5858  0.01
Cl 0.5477 0.7220 0.1911  0.01
Os 0.6158 0.0010 0.0548  0.12
Cl 0.4770 0.9870 0.7014  0.01
Ag 0.0000 0.0000 0.5000  0.00
Cl 0.5230 0.0130 0.2986  0.01
Cl 0.8174 0.9904 0.8657  0.01
Ag 0.4646 0.7179 0.5904  0.01
Cl 0.8429 0.3834 0.4142  0.01
Cl 0.2135 0.7191 0.0256  0.01

* DFT total energy: -3.503 eV/atom
* crystal system: triclinic
* E_form (uncorrected): -0.404 eV/atom
* N(E_F): 0.306 states/eV/atom



Density functional theory data (GGA-PBE) for a relaxed structure of ErTh2Tl3Te6.

Unit cell a=7.6040 b=7.6040 c=8.8468 alpha=98.24 beta=98.24 gamma=119.93
Element x y z (fractional)
Te 0.6012 0.9274 0.7804
Te 0.9274 0.6012 0.7804
Te 0.7496 0.7496 0.2228
Er 0.0000 0.0000 0.0000
Te 0.2504 0.2504 0.7772
Tl 0.5000 0.5000 0.5000
Tl 0.1689 0.8311 0.5000
Th 0.6655 0.3345 0.0000
Tl 0.8311 0.1689 0.5000
Te 0.0726 0.3988 0.2196
Te 0.3988 0.0726 0.2196
Th 0.3345 0.6655 0.0000

* DFT total energy: -4.664 eV/atom
* crystal system: monoclinic
* E_form (uncorrected): -0.884 eV/atom
* N(E_F): 0.673 states/eV/atom



Density functional theory data (GGA-PBE) for a relaxed structure of Mo2Ir3Rh3.

Unit cell a=4.9515 b=4.9515 c=4.9515 alpha=92.46 beta=92.46 gamma=87.54
Element x y z (fractional)
Rh 0.2331 0.7669 0.0000
Ir 0.5000 0.2620 0.2620
Ir 0.7380 0.5000 0.7380
Ir 0.2620 0.7380 0.5000
Mo 0.2526 0.2526 0.7474
Rh 0.7669 0.0000 0.7669
Rh 0.0000 0.2331 0.2331
Mo 0.7474 0.7474 0.2526

* DFT total energy: -8.713 eV/atom
* crystal system: trigonal
* N(E_F): 1.160 states/eV/atom
* energy above the most stable polymorph in this dataset: 307 meV/atom
* DFT formation energy: 0.07 eV per atom



Density functional theory data (GGA-PBE) for a relaxed structure of CuSi3.

Unit cell a=4.4752 b=2.5078 c=5.0896 alpha=89.61 beta=90.00 gamma=90.00
Element x y z (fractional)
Si 0.5000 0.4991 0.7576
Si 0.5000 0.5009 0.2424
Cu 0.0000 0.0000 0.0000
Si 0.0000 0.5000 0.5000

* DFT total energy: -4.772 eV/atom
* crystal system: monoclinic
* E_form (uncorrected): 0.320 eV/atom
* N(E_F): 0.318 states/eV/atom



Density functional theory data (GGA-PBE) for a relaxed structure of Zr3P.

Unit cell a=5.3886 b=5.3886 c=5.3886 alpha=90.00 beta=90.00 gamma=90.00
Element x y z (fractional)
Zr 0.5000 0.0000 0.2500
Zr 0.7500 0.5000 0.0000
Zr 0.0000 0.7500 0.5000
P 0.0000 0.0000 0.0000
Zr 0.2500 0.5000 0.0000
P 0.5000 0.5000 0.5000
Zr 0.5000 0.0000 0.7500
Zr 0.0000 0.2500 0.5000

* DFT total energy: -8.153 eV/atom
* crystal system: cubic
* N(E_F): 1.172 states/eV/atom
* energy above the most stable polymorph in this dataset: 474 meV/atom
* DFT formation energy: -0.39 eV per atom



Density functional theory data (GGA-PBE) for a relaxed structure of VHg2Br.

Unit cell a=9.6675 b=9.6675 c=7.2936 alpha=48.49 beta=48.49 gamma=90.00
Site moments in Bohr magnetons follow the coordinates.
Element x y z (fractional)
Hg 0.8750 0.7767 0.7500  0.05
Hg 0.2233 0.6250 0.2500  0.05
Hg 0.5267 0.1250 0.2500  0.05
V 0.5000 0.5000 0.0000  2.85
Br 0.0000 0.0000 0.0000  0.00
Br 0.7500 0.2500 0.5000  0.00
Hg 0.3750 0.4733 0.7500  0.05
V 0.2500 0.7500 0.5000  2.85

* DFT total energy: -2.682 eV/atom
* crystal system: tetragonal
* E_form (uncorrected): 0.166 eV/atom
* N(E_F): 0.940 states/eV/atom
* energy above the most stable polymorph in this dataset: 0 meV/atom



Density functional theory data (GGA-PBE) for a relaxed structure of KPd2Au2.

Unit cell a=4.2325 b=4.2325 c=6.8847 alpha=72.10 beta=72.10 gamma=90.00
Element x y z (fractional)
Pd 0.2500 0.7500 0.5000
Au 0.3912 0.3912 0.2176
Pd 0.7500 0.2500 0.5000
Au 0.6088 0.6088 0.7824
K 0.0000 0.0000 0.0000

* DFT total energy: -3.593 eV/atom
* crystal system: tetragonal
* N(E_F): 0.593 states/eV/atom
* energy above the most stable polymorph in this dataset: 136 meV/atom
* DFT formation energy: 0.01 eV per atom



Density functional theory data (GGA-PBE) for a relaxed structure of TmPaPb2.

Unit cell a=3.4526 b=3.4526 c=9.1096 alpha=90.00 beta=90.00 gamma=90.00
Site moments in Bohr magnetons follow the coordinates.
Element x y z (fractional)
Pb 0.0000 0.0000 0.2446  -0.01
Pb 0.0000 0.0000 0.7554  -0.01
Tm 0.5000 0.5000 0.0000  -0.02
Pa 0.5000 0.5000 0.5000  0.77

* DFT total energy: -5.450 eV/atom
* crystal system: tetragonal
* N(E_F): 1.562 states/eV/atom
* energy above the most stable polymorph in this dataset: 13 meV/atom
* DFT formation energy: -0.10 eV per atom



Density functional theory data (GGA-PBE) for a relaxed structure of P2RuSe.

Unit cell a=2.9161 b=2.9161 c=9.1922 alpha=90.00 beta=90.00 gamma=118.91
Element x y z (fractional)
P 0.0000 0.0000 0.0688
P 0.5000 0.5000 0.2650
Ru 0.0000 0.0000 0.4721
Se 0.5000 0.5000 0.6941

* DFT total energy: -5.443 eV/atom
* crystal system: orthorhombic
* E_form (uncorrected): 0.452 eV/atom
* N(E_F): 0.617 states/eV/atom



Density functional theory data (GGA-PBE) for a relaxed structure of Ac7Tb2Y.

Unit cell a=6.0937 b=9.6641 c=9.6641 alpha=63.36 beta=90.00 gamma=90.00
Element x y z (fractional)
Ac 0.5000 0.0617 0.6918
Ac 0.5000 0.9383 0.3082
Ac 0.0000 0.7584 0.7584
Ac 0.5000 0.6918 0.0617
Ac 0.5000 0.5000 0.5000
Tb 0.5000 0.7016 0.7016
Tb 0.5000 0.2984 0.2984
Y 0.0000 0.0000 0.0000
Ac 0.0000 0.2416 0.2416
Ac 0.5000 0.3082 0.9383

* DFT total energy: -3.824 eV/atom
* crystal system: orthorhombic
* N(E_F): 1.439 states/eV/atom
* DFT formation energy: 0.62 eV per atom



Density functional theory data (GGA-PBE) for a relaxed structure of Li3CeSc4Se8.

Unit cell a=7.8122 b=7.9570 c=7.8119 alpha=119.40 beta=120.00 gamma=90.00
Site moments in Bohr magnetons follow the coordinates.
Element x y z (fractional)
Se 0.7416 0.2391 0.9975  -0.01
Li 0.5000 0.5000 0.0000  0.00
Sc 0.0000 0.0000 0.0000  0.07
Sc 0.5000 0.0000 0.5000  0.07
Se 0.7536 0.7607 0.5072  0.00
Se 0.2584 0.7609 0.5168  -0.01
Se 0.2464 0.2393 0.4928  0.00
Li 0.5000 0.5000 0.5000  0.00
Se 0.7416 0.2391 0.4832  -0.01
Sc 0.5000 0.0000 0.0000  0.07
Sc 0.0000 0.0000 0.5000  0.07
Se 0.2559 0.2391 0.9975  -0.01
Ce 0.0000 0.5000 0.0000  0.88
Se 0.2584 0.7609 0.0025  -0.01
Se 0.7441 0.7609 0.0025  -0.01
Li 0.0000 0.5000 0.5000  0.00

* DFT total energy: -5.677 eV/atom
* crystal system: trigonal
* E_form (uncorrected): -1.622 eV/atom
* N(E_F): 0.592 states/eV/atom



Density functional theory data (GGA-PBE) for a relaxed structure of TaFe2Ag.

Unit cell a=2.7253 b=2.7253 c=8.3373 alpha=90.00 beta=90.00 gamma=104.02
Site moments in Bohr magnetons follow the coordinates.
Element x y z (fractional)
Ta 0.0000 0.0000 0.4747  -0.09
Fe 0.0000 0.0000 0.0262  2.79
Ag 0.5000 0.5000 0.7651  0.01
Fe 0.5000 0.5000 0.2339  2.26

* DFT total energy: -7.671 eV/atom
* crystal system: orthorhombic
* N(E_F): 0.717 states/eV/atom
* energy above the most stable polymorph in this dataset: 40 meV/atom
* DFT formation energy: 0.24 eV per atom



Density functional theory data (GGA-PBE) for a relaxed structure of BeGa3Ni.

Unit cell a=4.5368 b=4.5368 c=4.5368 alpha=90.00 beta=90.00 gamma=90.00
Element x y z (fractional)
Ga 0.0000 0.0000 0.5000
Ni 0.0000 0.0000 0.0000
Be 0.5000 0.5000 0.5000
Ga 0.5000 0.0000 0.0000
Ga 0.0000 0.5000 0.0000

* DFT total energy: -3.360 eV/atom
* crystal system: cubic
* N(E_F): 0.321 states/eV/atom
* energy above the most stable polymorph in this dataset: 0 meV/atom
* DFT formation energy: 0.36 eV per atom



Density functional theory data (GGA-PBE) for a relaxed structure of TbYHgAu.

Unit cell a=5.1925 b=5.1925 c=5.1925 alpha=60.00 beta=60.00 gamma=60.00
Element x y z (fractional)
Y 0.0000 0.0000 0.0000
Tb 0.5000 0.5000 0.5000
Hg 0.2500 0.2500 0.2500
Au 0.7500 0.7500 0.7500

* DFT total energy: -4.331 eV/atom
* crystal system: cubic
* N(E_F): 0.948 states/eV/atom
* energy above the most stable polymorph in this dataset: 12 meV/atom
* DFT formation energy: -0.66 eV per atom